# Pd5Pt7 | Alexandria | PBE | optimized geometry
# - ΔE_f: 0.01 kcal/mol of atoms
# - Magnetization: 0.00 μB/cell
# - V: 187.95 Å³/f.u.
# - Excess energy over the best structure of this formula in the dataset: 13 meV per atom
data_Pd5Pt7
_chemical_formula_sum 'Pd10 Pt14'
_space_group_name_H-M_alt 'C 1 2/m 1'
_space_group_IT_number 12
_cell_length_a 8.3165
_cell_length_b 4.7535
_cell_length_c 9.9022
_cell_angle_alpha 90.00
_cell_angle_beta 106.21
_cell_angle_gamma 90.00
loop_
_space_group_symop_operation_xyz
'x,y,z'
'-x,-y,-z'
'-x,y,-z'
'x,-y,z'
'x+1/2,y+1/2,z'
'-x+1/2,-y+1/2,-z'
'-x+1/2,y+1/2,-z'
'x+1/2,-y+1/2,z'
loop_
_atom_site_label
_atom_site_type_symbol
_atom_site_fract_x
_atom_site_fract_y
_atom_site_fract_z
_atom_site_occupancy
Pd1 Pd 0.0000 0.0000 0.0000 1
Pd2 Pd 0.1658 0.0000 0.5008 1
Pd3 Pd 0.2499 0.0000 0.2518 1
Pt1 Pt 0.0000 0.5000 0.5000 1
Pt2 Pt 0.0798 0.5000 0.2505 1
Pt3 Pt 0.0851 0.0000 0.7507 1
Pt4 Pt 0.1671 0.5000 0.0020 1